No. 1
This record from Alexandria via LeMat-Bulk describes RbBiTe2 after structural relaxation. The functional is PBE.

Cell lengths 4.6069, 4.6069, 9.0961 Å; angles 75.33, 75.33, 60.00 degrees
Fractional coordinates of all 4 atoms:
Te 0.2661 0.2661 0.2016
Bi 0.6670 0.6670 0.9989
Te 0.0676 0.0676 0.7972
Rb 0.4992 0.4992 0.5023

* theoretical density: 5.7 g cm⁻³
* E: -3.393 eV per atom
* space group: R3m
* raw formation energy: -0.61 eV per atom
* volume: 39.97 Å³/atom

---

No. 2
This record from Alexandria via LeMat-Bulk describes Ca4SeBr5 after structural relaxation. The functional is PBE.

Cell lengths 4.2143, 8.3537, 9.4173 Å; angles 103.59, 102.93, 90.00 degrees
Fractional coordinates of all 10 atoms:
Br 0.5000 0.5000 0.0000
Br 0.1648 0.3345 0.3295
Se 0.5000 0.0000 0.0000
Ca 0.0010 0.2427 0.0020
Br 0.8314 0.1538 0.6628
Ca 0.3366 0.9034 0.6732
Ca 0.9990 0.7573 0.9980
Br 0.8352 0.6655 0.6705
Br 0.1686 0.8462 0.3372
Ca 0.6634 0.0966 0.3268

* theoretical density: 3.4 g cm⁻³
* E: -3.865 eV per atom
* space group: C2/m
* raw formation energy: -1.88 eV per atom
* volume: 31.36 Å³/atom

---

No. 3
This record from Alexandria via LeMat-Bulk describes Pm2ScPd3 after structural relaxation. The functional is PBE.

Cell lengths 3.4668, 3.4668, 10.7143 Å; angles 90.00, 90.00, 90.00 degrees
Fractional coordinates of all 6 atoms:
Sc 0.5000 0.5000 0.5000
Pd 0.0000 0.0000 0.0000
Pd 0.0000 0.0000 0.6415
Pd 0.0000 0.0000 0.3585
Pm 0.5000 0.5000 0.8246
Pm 0.5000 0.5000 0.1754

* theoretical density: 8.4 g cm⁻³
* E: -6.027 eV per atom
* calculated formation energy: -0.792 eV/atom
* space group: P4/mmm
* volume: 21.46 Å³/atom

---

No. 4
This record from Alexandria via LeMat-Bulk describes Sc2MnFeC after structural relaxation. The functional is PBE.

Cell lengths 4.5848, 4.5848, 3.6296 Å; angles 90.00, 90.00, 90.00 degrees
Last column: magnetic moment on the atom in μB.
Fractional coordinates of all 5 atoms:
Sc 0.5000 0.0000 0.0000  -0.15
Mn 0.5000 0.5000 0.5000  3.62
Sc 0.0000 0.5000 0.0000  -0.15
Fe 0.0000 0.0000 0.5000  0.50
C 0.0000 0.0000 0.0000  0.01

* theoretical density: 4.6 g cm⁻³
* E: -8.056 eV per atom
* calculated formation energy: -0.152 eV/atom
* space group: P4/mmm
* volume: 15.26 Å³/atom

---

No. 5
This record from Alexandria via LeMat-Bulk describes Tl16In12Ge after structural relaxation. The functional is PBE.

Cell lengths 10.3662, 10.3662, 10.2583 Å; angles 108.75, 108.75, 110.12 degrees
Fractional coordinates of all 29 atoms:
In 0.8104 0.1871 0.8128
Tl 0.3278 0.7079 0.3147
In 0.9890 0.1726 0.3574
Tl 0.5981 0.2859 0.5996
In 0.8262 0.6364 0.6370
Tl 0.3159 0.3159 0.7051
Tl 0.6755 0.3991 0.0001
Tl 0.6749 0.9994 0.3958
In 0.0007 0.3663 0.1873
Ge 0.6466 0.6466 0.3520
In 0.3623 0.1837 0.9914
Tl 0.2859 0.5981 0.5996
In 0.6390 0.6390 0.8272
Tl 0.3732 0.3732 0.3490
Tl 0.0020 0.6377 0.0014
Tl 0.3991 0.6755 0.0001
In 0.1871 0.8104 0.8128
Tl 0.7079 0.3278 0.3147
Tl 0.6377 0.0020 0.0014
Tl 0.0035 0.0035 0.0013
In 0.7915 0.7915 0.1905
In 0.3663 0.0007 0.1873
Tl 0.9994 0.6749 0.3958
In 0.1726 0.9890 0.3574
In 0.1837 0.3623 0.9914
Tl 0.9961 0.9961 0.6364
In 0.6364 0.8262 0.6370
Tl 0.3946 0.9965 0.6717
Tl 0.9965 0.3946 0.6717

* theoretical density: 9.2 g cm⁻³
* E: -2.570 eV per atom
* calculated formation energy: 0.028 eV/atom
* space group: Cm
* volume: 29.54 Å³/atom

---

No. 6
This record from Alexandria via LeMat-Bulk describes PuTcH6 after structural relaxation. The functional is PBE.

Cell lengths 4.3286, 4.3286, 4.6291 Å; angles 90.09, 117.80, 119.96 degrees
Last column: magnetic moment on the atom in μB.
Fractional coordinates of all 8 atoms:
Pu 0.0000 0.5000 0.5000  -4.50
H 0.6361 0.5380 0.7348  0.03
H 0.6369 0.0989 0.7358  0.03
H 0.8032 0.9013 0.2652  0.03
H 0.3631 0.9011 0.2642  0.03
Tc 0.0000 0.0000 0.0000  1.20
H 0.3639 0.4620 0.2652  0.03
H 0.1968 0.0987 0.7348  0.03

* theoretical density: 9.1 g cm⁻³
* E: -5.613 eV per atom
* space group: C2/m
* volume: 7.91 Å³/atom

---

> Among the records above, which one has the highest volume?

RbBiTe2

---

> E of number 4 (Sc2MnFeC)?

-8.056 eV per atom